No. 1
PrBe4: optimized geometry, PBE-GGA.

The structure belongs to space group P4/nmm (No. 129, origin choice 2); the cell edges are 3.140, 3.140 and 13.921 Å and the angles 90.00°, 90.00° and 90.00°. The inequivalent atoms are Pr at (0.250, 0.250, 0.196), Be at (0.250, 0.250, 0.498), Be at (0.250, 0.750, 0.000) and Be at (0.250, 0.750, 0.389).

The total energy comes out at -3.630 eV/atom.

No. 2
TbNd2Hg3PdAu2: optimized geometry, PBE-GGA.

The structure belongs to space group Amm2 (No. 38); the cell edges are 3.881, 13.772 and 7.999 Å and the angles 90.00°, 90.00° and 90.00°. The inequivalent atoms are Tb at (0.000, 0.000, 0.000), Nd at (0.000, 0.198, 0.592), Hg at (0.500, 0.000, 0.656), Hg at (0.500, 0.131, 0.262), Pd at (0.000, 0.000, 0.393) and Au at (0.500, 0.163, 0.897).

As for the formation energy: -0.667 eV/atom.

No. 3
LiDy5Tl3: optimized geometry, PBE-GGA.

The structure belongs to space group P6_3/mcm (No. 193); the cell edges are 9.2724, 9.2724 and 6.6431 Å and the angles 90.00°, 90.00° and 120.00°. The inequivalent atoms are Li at (0.0000, 0.0000, 0.0000), Dy at (0.0000, 0.3063, 0.2500), Dy at (0.3333, 0.6667, 0.0000) and Tl at (0.0000, 0.3525, 0.7500).

The total energy comes out at -3.833 eV/atom.

No. 4
Li2PrDySe2O2: optimized geometry, PBE-GGA.

The structure belongs to space group P4mm (No. 99); the cell edges are 3.972, 3.972 and 8.963 Å and the angles 90.00°, 90.00° and 90.00°. The inequivalent atoms are Li at (0.000, 0.500, 0.000), Pr at (0.000, 0.000, 0.629), Dy at (0.500, 0.500, 0.372), Se at (0.000, 0.000, 0.173), Se at (0.500, 0.500, 0.821) and O at (0.000, 0.500, 0.489).

The total energy comes out at -6.124 eV/atom.

No. 5
La3Ni2Ge4Pd2: optimized geometry, PBE-GGA.

The structure belongs to space group Immm (No. 71); the cell edges are 4.168, 4.354 and 24.881 Å and the angles 90.00°, 90.00° and 90.00°. The inequivalent atoms are La at (0.000, 0.000, 0.000), La at (0.000, 0.500, 0.153), Ni at (0.000, 0.000, 0.250), Ge at (0.000, 0.000, 0.450), Ge at (0.000, 0.500, 0.297) and Pd at (0.000, 0.500, 0.400).

The total energy comes out at -5.823 eV/atom.

No. 6
HfTlPb2: optimized geometry, PBE-GGA.

The structure belongs to space group F-43m (No. 216); the cell edges are 7.564, 7.564 and 7.564 Å and the angles 90.00°, 90.00° and 90.00°. The inequivalent atoms are Hf at (0.000, 0.000, 0.000), Tl at (0.250, 0.250, 0.750), Pb at (0.000, 0.000, 0.500) and Pb at (0.250, 0.250, 0.250).

The total energy comes out at -4.523 eV/atom.

No. 7
CsPaO3: optimized geometry, PBE-GGA.

The structure belongs to space group R-3c (No. 167, hexagonal axes); the cell edges are 6.3077, 6.3077 and 15.4506 Å and the angles 90.00°, 90.00° and 120.00°. The inequivalent atoms are Cs at (0.0000, 0.0000, 0.2500), Pa at (0.0000, 0.0000, 0.0000) and O at (0.0000, 0.4975, 0.2500).

The total energy comes out at -7.655 eV/atom.

No. 8
TaBeCdCo: optimized geometry, PBE-GGA.

The structure belongs to space group F-43m (No. 216); the cell edges are 6.116, 6.116 and 6.116 Å and the angles 90.00°, 90.00° and 90.00°. The inequivalent atoms are Ta at (0.000, 0.000, 0.000), Be at (0.250, 0.250, 0.750), Cd at (0.250, 0.250, 0.250) and Co at (0.000, 0.000, 0.500).

The value obtained for the energy relative to the lowest polymorph listed for this composition is 403.5 meV/atom.

No. 9
PrY2Mg3Tl2Cd: optimized geometry, PBE-GGA.

The structure belongs to space group Amm2 (No. 38); the cell edges are 4.674, 13.313 and 7.556 Å and the angles 90.00°, 90.00° and 90.00°. The inequivalent atoms are Pr at (0.000, 0.000, 0.000), Y at (0.000, 0.212, 0.637), Mg at (0.500, 0.000, 0.666), Mg at (0.500, 0.120, 0.308), Tl at (0.500, 0.170, 0.924) and Cd at (0.000, 0.000, 0.435).

The total energy comes out at -3.458 eV/atom.

No. 10
AgBi2W: optimized geometry, PBE-GGA.

The structure belongs to space group F-43m (No. 216); the cell edges are 7.161, 7.161 and 7.161 Å and the angles 90.00°, 90.00° and 90.00°. The inequivalent atoms are Ag at (0.000, 0.000, 0.000), Bi at (0.000, 0.000, 0.500), Bi at (0.250, 0.250, 0.250) and W at (0.250, 0.250, 0.750).

The total energy comes out at -4.858 eV/atom.

No. 11
PmHg3F: optimized geometry, PBE-GGA.

The structure belongs to space group Pm-3m (No. 221); the cell edges are 4.969, 4.969 and 4.969 Å and the angles 90.00°, 90.00° and 90.00°. The inequivalent atoms are Pm at (0.000, 0.000, 0.000), Hg at (0.000, 0.500, 0.500) and F at (0.500, 0.500, 0.500).

The total energy comes out at -1.934 eV/atom.

No. 12
Sr2IrSO6: optimized geometry, PBE-GGA.

The structure belongs to space group C2/m (No. 12); the cell edges are 10.976, 5.242 and 5.572 Å and the angles 90.00°, 120.40° and 90.00°. The inequivalent atoms are Sr at (0.190, 0.000, 0.191), Ir at (0.000, 0.500, 0.500), S at (0.000, 0.500, 0.000), O at (0.001, 0.271, 0.784) and O at (0.180, 0.500, 0.181).

The total energy comes out at -6.115 eV/atom.